No. 1
Here is a relaxed LiSm3Pu2S6 crystal from Alexandria. Energies are from GGA-PBE.

The structure in POSCAR format:
```
LiSm3Pu2S6
1.0
3.438 -5.956 0.000
3.438 5.956 0.000
-2.296 0.000 6.486
Li Sm Pu S
1 3 2 6
direct
0.000 0.000 0.000
0.166 0.834 0.500
0.500 0.500 0.500
0.834 0.166 0.500
0.333 0.667 0.000
0.667 0.333 0.000
0.081 0.410 0.243
0.248 0.248 0.758
0.410 0.081 0.243
0.590 0.919 0.757
0.752 0.752 0.242
0.919 0.590 0.757
```

Values from the calculation:
Magnetic moment   11.5 Bohr magnetons per cell
E_form (uncorrected)   -1.86 eV per atom
Electronic total energy   -7.654 eV/atom
Symmetry   No. 12


No. 2
Here is a relaxed LiSm3Pu3S8 crystal from Alexandria. Energies are from GGA-PBE.

The structure in POSCAR format:
```
LiSm3Pu3S8
1.0
3.960 2.286 6.457
-3.960 2.286 6.457
0.000 -4.572 6.457
Li Sm Pu S
1 3 3 8
direct
0.000 0.000 0.000
0.000 0.000 0.500
0.000 0.500 0.000
0.500 0.000 0.000
0.000 0.500 0.500
0.500 0.000 0.500
0.500 0.500 0.000
0.244 0.244 0.753
0.244 0.753 0.244
0.247 0.756 0.756
0.252 0.252 0.252
0.748 0.748 0.748
0.753 0.244 0.244
0.756 0.247 0.756
0.756 0.756 0.247
```

Values from the calculation:
Magnetic moment   16.5 Bohr magnetons per cell
E_form (uncorrected)   -1.82 eV per atom
Electronic total energy   -7.955 eV/atom
Symmetry   No. 166


No. 3
Here is a relaxed Li2SmPuS4 crystal from Alexandria. Energies are from GGA-PBE.

The structure in POSCAR format:
```
Li2SmPuS4
1.0
6.578 0.000 0.000
0.000 3.994 0.000
-2.432 0.000 6.462
Li Sm Pu S
2 1 1 4
direct
0.000 0.000 0.000
0.000 0.500 0.500
0.500 0.000 0.500
0.500 0.500 0.000
0.244 0.500 0.246
0.249 0.000 0.754
0.751 0.000 0.246
0.756 0.500 0.754
```

Values from the calculation:
Magnetic moment   5.0 Bohr magnetons per cell
E_form (uncorrected)   -1.66 eV per atom
Electronic total energy   -6.586 eV/atom
Symmetry   No. 10


No. 4
Here is a relaxed Li3Pu3SnS8 crystal from Alexandria. Energies are from GGA-PBE.

The structure in POSCAR format:
```
Li3Pu3SnS8
1.0
3.960 2.286 6.068
-3.960 2.286 6.068
0.000 -4.572 6.068
Li Pu Sn S
3 3 1 8
direct
0.000 0.500 0.500
0.500 0.000 0.500
0.500 0.500 0.000
0.000 0.000 0.500
0.000 0.500 0.000
0.500 0.000 0.000
0.500 0.500 0.500
0.249 0.249 0.249
0.259 0.259 0.739
0.259 0.739 0.259
0.261 0.741 0.741
0.739 0.259 0.259
0.741 0.261 0.741
0.741 0.741 0.261
0.751 0.751 0.751
```

Values from the calculation:
Magnetic moment   14.7 Bohr magnetons per cell
E_form (uncorrected)   -1.30 eV per atom
Electronic total energy   -7.021 eV/atom
Symmetry   No. 166


No. 5
Here is a relaxed Li4Pu3SnS8 crystal from Alexandria. Energies are from GGA-PBE.

The structure in POSCAR format:
```
Li4Pu3SnS8
1.0
3.996 2.307 6.066
-3.996 2.307 6.066
0.000 -4.614 6.066
Li Pu Sn S
4 3 1 8
direct
0.000 0.000 0.000
0.000 0.500 0.500
0.500 0.000 0.500
0.500 0.500 0.000
0.000 0.000 0.500
0.000 0.500 0.000
0.500 0.000 0.000
0.500 0.500 0.500
0.239 0.755 0.755
0.245 0.245 0.761
0.245 0.761 0.245
0.250 0.250 0.250
0.750 0.750 0.750
0.755 0.239 0.755
0.755 0.755 0.239
0.761 0.245 0.245
```

Values from the calculation:
Magnetic moment   14.0 Bohr magnetons per cell
E_form (uncorrected)   -1.34 eV per atom
Electronic total energy   -6.824 eV/atom
Symmetry   No. 166


No. 6
Here is a relaxed Li2PuSnS4 crystal from Alexandria. Energies are from GGA-PBE.

The structure in POSCAR format:
```
Li2PuSnS4
1.0
6.527 0.000 0.000
0.000 3.922 0.000
-2.504 0.000 6.509
Li Pu Sn S
2 1 1 4
direct
0.000 0.000 0.000
0.000 0.500 0.500
0.500 0.000 0.500
0.500 0.500 0.000
0.245 0.000 0.735
0.250 0.500 0.252
0.750 0.500 0.748
0.755 0.000 0.265
```

Values from the calculation:
Magnetic moment   4.4 Bohr magnetons per cell
E_form (uncorrected)   -1.12 eV per atom
Electronic total energy   -5.955 eV/atom
Symmetry   No. 10


No. 7
Here is a relaxed LiPuSn2S4 crystal from Alexandria. Energies are from GGA-PBE.

The structure in POSCAR format:
```
LiPuSn2S4
1.0
6.793 0.000 0.000
0.000 4.050 0.000
-2.287 0.000 6.749
Li Pu Sn S
1 1 2 4
direct
0.000 0.000 0.000
0.500 0.500 0.000
0.000 0.500 0.500
0.500 0.000 0.500
0.247 0.500 0.234
0.258 0.000 0.773
0.742 0.000 0.227
0.753 0.500 0.766
```

Values from the calculation:
Magnetic moment   5.0 Bohr magnetons per cell
E_form (uncorrected)   -0.91 eV per atom
Electronic total energy   -6.006 eV/atom
Symmetry   No. 10


No. 8
Here is a relaxed Sr2LiPuS4 crystal from Alexandria. Energies are from GGA-PBE.

The structure in POSCAR format:
```
Sr2LiPuS4
1.0
7.060 0.000 0.000
0.000 4.150 0.000
-2.320 0.000 6.707
Sr Li Pu S
2 1 1 4
direct
0.000 0.000 0.000
0.500 0.500 0.000
0.000 0.500 0.500
0.500 0.000 0.500
0.251 0.000 0.732
0.260 0.500 0.273
0.740 0.500 0.727
0.749 0.000 0.268
```

Values from the calculation:
Magnetic moment   5.0 Bohr magnetons per cell
E_form (uncorrected)   -1.78 eV per atom
Electronic total energy   -6.290 eV/atom
Symmetry   No. 10


What did the second record say?
Here is a relaxed LiSm3Pu3S8 crystal from Alexandria. Energies are from GGA-PBE.

The structure in POSCAR format:
```
LiSm3Pu3S8
1.0
3.960 2.286 6.457
-3.960 2.286 6.457
0.000 -4.572 6.457
Li Sm Pu S
1 3 3 8
direct
0.000 0.000 0.000
0.000 0.000 0.500
0.000 0.500 0.000
0.500 0.000 0.000
0.000 0.500 0.500
0.500 0.000 0.500
0.500 0.500 0.000
0.244 0.244 0.753
0.244 0.753 0.244
0.247 0.756 0.756
0.252 0.252 0.252
0.748 0.748 0.748
0.753 0.244 0.244
0.756 0.247 0.756
0.756 0.756 0.247
```

Values from the calculation:
Magnetic moment   16.5 Bohr magnetons per cell
E_form (uncorrected)   -1.82 eV per atom
Electronic total energy   -7.955 eV/atom
Symmetry   No. 166


- E_form (uncorrected) of number 5 (Li4Pu3SnS8)?
  -1.34 eV per atom


- Look up the electronic total energy of the eighth one.
  -6.290 eV/atom


- Look up the E_form (uncorrected) of the first one.
  -1.86 eV per atom